DFT (GGA+U) results for an optimized crystal structure of Na5Mn2P2C2O14.

total magnetic moment = 9.00 μB per formula unit
space group = P2_1/m
electronic total energy = -6.76 eV per atom
crystal system = monoclinic
energy above the most stable polymorph in this dataset = 0.001 eV/atom

Unit cell a=9.062 b=6.667 c=10.585 alpha=90.00 beta=89.37 gamma=90.00
Element x y z (fractional)
P 0.585 0.750 0.652
Na 0.744 0.990 0.884
Mn 0.647 0.250 0.611
Na 0.079 0.250 0.883
O 0.131 0.750 0.965
O 0.065 0.250 0.111
O 0.923 0.750 0.846
Na 0.256 0.490 0.616
Na 0.256 0.010 0.616
P 0.428 0.250 0.352
O 0.660 0.561 0.107
C 0.925 0.250 0.124
O 0.340 0.439 0.393
Mn 0.634 0.250 0.108
O 0.585 0.250 0.409
O 0.415 0.750 0.091
P 0.572 0.750 0.148
P 0.415 0.250 0.848
Mn 0.366 0.750 0.392
O 0.559 0.750 0.799
O 0.852 0.250 0.746
Na 0.921 0.750 0.617
O 0.559 0.750 0.297
O 0.077 0.250 0.654
O 0.660 0.939 0.107
O 0.146 0.750 0.270
Na 0.233 0.503 0.133
Mn 0.353 0.750 0.889
O 0.843 0.250 0.021
O 0.566 0.250 0.913
Na 0.767 0.003 0.367
Na 0.767 0.497 0.367
Na 0.233 0.997 0.133
O 0.434 0.750 0.587
O 0.148 0.750 0.754
O 0.340 0.061 0.393
O 0.680 0.565 0.615
O 0.441 0.250 0.701
O 0.680 0.935 0.615
Na 0.744 0.510 0.884
O 0.320 0.435 0.885
O 0.854 0.250 0.230
C 0.936 0.250 0.645
C 0.064 0.750 0.855
C 0.075 0.750 0.376
O 0.441 0.250 0.203
O 0.869 0.250 0.535
O 0.320 0.065 0.885
O 0.157 0.750 0.479
O 0.935 0.750 0.389